The following is a DFT calculation (GGA-PBE) of crystalline K3OsBr at its relaxed geometry.

Results
Uncorrected formation energy: 2.672 eV/f.u.

The structure in POSCAR format:
```
K3OsBr
1.0
6.118 0.000 0.000
0.000 6.118 0.000
0.000 0.000 6.118
K Os Br
3 1 1
Direct
0.000 0.000 0.500 K
0.000 0.500 0.000 K
0.500 0.000 0.000 K
0.000 0.000 0.000 Os
0.500 0.500 0.500 Br
```